(1)
# GGA-PBE CeNdCd2, optimized geometry
# density: 7.4 g/cm³
# energy relative to the elements: -21 kJ/mol of atoms
# total energy: -13.4 eV/f.u.
# energy above the lowest structure with this stoichiometry: 2 meV/atom
# DOS(E_F): 10.32 states/eV/f.u.
data_CeNdCd2
_cell_length_a 3.822
_cell_length_b 3.822
_cell_length_c 7.791
_cell_angle_alpha 90.00
_cell_angle_beta 90.00
_cell_angle_gamma 90.00
_space_group_name_H-M_alt 'P 4/m m m'
_space_group_IT_number 123
_space_group_name_Hall '-P 4 2'
loop_
_atom_site_label
_atom_site_type_symbol
_atom_site_fract_x
_atom_site_fract_y
_atom_site_fract_z
Ce1 Ce 0.000 0.000 0.000
Nd1 Nd 0.000 0.000 0.500
Cd1 Cd 0.500 0.500 0.251



(2)
# GGA-PBE CeNdCd, optimized geometry
# density: 7.3 g/cm³
# energy relative to the elements: -8 kJ/mol of atoms
# total energy: -11.9 eV/f.u.
# energy above the lowest structure with this stoichiometry: 42 meV/atom
# DOS(E_F): 6.97 states/eV/f.u.
data_CeNdCd
_cell_length_a 3.572
_cell_length_b 3.572
_cell_length_c 14.052
_cell_angle_alpha 90.00
_cell_angle_beta 90.00
_cell_angle_gamma 90.00
_space_group_name_H-M_alt 'I 4 m m'
_space_group_IT_number 107
_space_group_name_Hall 'I 4 -2'
loop_
_atom_site_label
_atom_site_type_symbol
_atom_site_fract_x
_atom_site_fract_y
_atom_site_fract_z
Ce1 Ce 0.000 0.000 0.000
Nd1 Nd 0.000 0.000 0.687
Cd1 Cd 0.000 0.000 0.343



(3)
# GGA-PBE CeNdCd2, optimized geometry
# density: 7.4 g/cm³
# energy relative to the elements: -6 kJ/mol of atoms
# total energy: -12.8 eV/f.u.
# energy above the lowest structure with this stoichiometry: 157 meV/atom
# DOS(E_F): 7.01 states/eV/f.u.
data_CeNdCd2
_cell_length_a 3.5204
_cell_length_b 3.5204
_cell_length_c 32.0133
_cell_angle_alpha 90.00
_cell_angle_beta 90.00
_cell_angle_gamma 120.00
_space_group_name_H-M_alt 'R -3 m'
_space_group_IT_number 166
_space_group_name_Hall '-R 3 2"'
loop_
_atom_site_label
_atom_site_type_symbol
_atom_site_fract_x
_atom_site_fract_y
_atom_site_fract_z
Ce1 Ce 0.0000 0.0000 0.0000
Nd1 Nd 0.0000 0.0000 0.5000
Cd1 Cd 0.0000 0.0000 0.2501